# GGA-PBEsol K2NaBiF6, relaxed
data_K2NaBiF6
_chemical_formula_sum 'K8 Na4 Bi4 F24'
_cell_length_a 8.917
_cell_length_b 8.917
_cell_length_c 8.917
_cell_angle_alpha 90.00
_cell_angle_beta 90.00
_cell_angle_gamma 90.00
_symmetry_space_group_name_H-M 'F m -3 m'
_symmetry_Int_Tables_number 225
_symmetry_space_group_name_Hall '-F 4 2 3'
loop_
_atom_site_label
_atom_site_type_symbol
_atom_site_fract_x
_atom_site_fract_y
_atom_site_fract_z
K1 K 0.250 0.250 0.250
Na1 Na 0.000 0.000 0.000
Bi1 Bi 0.000 0.000 0.500
F1 F 0.000 0.000 0.249
# VASP energy ... -4.583 eV/atom
# Fermi-level density of states ... 0.000 states/eV per atom
# Total moment ... 0.00 Bohr magnetons per cell
# Volume ... 709 Å³ per cell
# Energy relative to the elements, uncorrected ... -2.63 eV/atom